Computed, not measured: a relaxed structure of CsAlP3 at the GGA-PBE level of DFT.

a = 5.568 Å, b = 5.568 Å, c = 5.568 Å
α = 90.00°, β = 90.00°, γ = 90.00°
Fractional positions:
1 P 0.000 0.500 0.000
2 P 0.000 0.000 0.500
3 P 0.500 0.000 0.000
4 Al 0.500 0.500 0.500
5 Cs 0.000 0.000 0.000

Values from the calculation:
Energy relative to the lowest polymorph listed for this composition ... 8.50 eV per formula unit
Formation enthalpy at 0 K ... 2.10 eV per atom
Symmetry ... Pm-3m, No. 221
DOS(E_F) ... 5.5 states/eV per cell
Total magnetic moment ... 2.0 μB per formula unit